(1)
# Sc2Pt3

A relaxed Sc2Pt3 crystal (PBE, the Alexandria database).

CIF file:
```
data_Sc2Pt3
_cell_length_a 4.4906
_cell_length_b 4.4906
_cell_length_c 5.5358
_cell_angle_alpha 90.00
_cell_angle_beta 90.00
_cell_angle_gamma 120.00
_symmetry_space_group_name_H-M 'P -3 m 1'
_symmetry_Int_Tables_number 164
_symmetry_space_group_name_Hall '-P 3 2"'
loop_
_atom_site_label
_atom_site_type_symbol
_atom_site_fract_x
_atom_site_fract_y
_atom_site_fract_z
_atom_site_occupancy
Sc1 Sc 0.3333 0.6667 0.3036 1
Pt1 Pt 0.0000 0.0000 0.5000 1
Pt2 Pt 0.3333 0.6667 0.8173 1
```

ΔE_f in eV/atom: -0.934
Crystal system: trigonal

=====

(2)
# CrFeSCl2

A relaxed CrFeSCl2 crystal (PBE, the Alexandria database).

CIF file:
```
data_CrFeSCl2
_cell_length_a 4.650
_cell_length_b 4.650
_cell_length_c 4.868
_cell_angle_alpha 90.00
_cell_angle_beta 90.00
_cell_angle_gamma 90.00
_symmetry_space_group_name_H-M 'P 4/m m m'
_symmetry_Int_Tables_number 123
_symmetry_space_group_name_Hall '-P 4 2'
loop_
_atom_site_label
_atom_site_type_symbol
_atom_site_fract_x
_atom_site_fract_y
_atom_site_fract_z
_atom_site_occupancy
Cr1 Cr 0.000 0.000 0.000 1
Fe1 Fe 0.500 0.500 0.500 1
S1 S 0.000 0.000 0.500 1
Cl1 Cl 0.000 0.500 0.000 1
```

Crystal system: tetragonal
Formation energy from raw total energies in eV/atom: 0.09

=====

(3)
# Ho5CoTe2

A relaxed Ho5CoTe2 crystal (PBE, the Alexandria database).

CIF file:
```
data_Ho5CoTe2
_cell_length_a 8.146
_cell_length_b 12.991
_cell_length_c 4.020
_cell_angle_alpha 90.00
_cell_angle_beta 90.00
_cell_angle_gamma 90.00
_symmetry_space_group_name_H-M 'P b a m'
_symmetry_Int_Tables_number 55
loop_
_symmetry_equiv_pos_as_xyz
'x,y,z'
'-x,-y,-z'
'-x,-y,z'
'x,y,-z'
'x+1/2,-y+1/2,-z'
'-x+1/2,y+1/2,z'
'-x+1/2,y+1/2,-z'
'x+1/2,-y+1/2,z'
loop_
_atom_site_label
_atom_site_type_symbol
_atom_site_fract_x
_atom_site_fract_y
_atom_site_fract_z
_atom_site_occupancy
Ho1 Ho 0.000 0.000 0.000 1
Ho2 Ho 0.162 0.321 0.000 1
Ho3 Ho 0.166 0.580 0.500 1
Co1 Co 0.000 0.500 0.000 1
Te1 Te 0.039 0.819 0.500 1
```

Crystal system: orthorhombic
Formation energy from raw total energies in eV/atom: -0.72

=====

(4)
# Tl2InI2Cl4

A relaxed Tl2InI2Cl4 crystal (PBE, the Alexandria database).

CIF file:
```
data_Tl2InI2Cl4
_cell_length_a 7.565
_cell_length_b 7.565
_cell_length_c 10.393
_cell_angle_alpha 90.00
_cell_angle_beta 90.00
_cell_angle_gamma 90.00
_symmetry_space_group_name_H-M 'I 4/m m m'
_symmetry_Int_Tables_number 139
_symmetry_space_group_name_Hall '-I 4 2'
loop_
_atom_site_label
_atom_site_type_symbol
_atom_site_fract_x
_atom_site_fract_y
_atom_site_fract_z
_atom_site_occupancy
Tl1 Tl 0.000 0.500 0.250 1
In1 In 0.000 0.000 0.000 1
I1 I 0.000 0.000 0.279 1
Cl1 Cl 0.236 0.236 0.000 1
```

Crystal system: tetragonal
Formation energy from raw total energies in eV/atom: -0.72

=====

(5)
# ScB

A relaxed ScB crystal (PBE, the Alexandria database).

CIF file:
```
data_ScB
_cell_length_a 8.4093
_cell_length_b 8.4093
_cell_length_c 3.1596
_cell_angle_alpha 90.00
_cell_angle_beta 90.00
_cell_angle_gamma 120.00
_symmetry_space_group_name_H-M 'P 63/m m c'
_symmetry_Int_Tables_number 194
_symmetry_space_group_name_Hall '-P 6c 2c'
loop_
_atom_site_label
_atom_site_type_symbol
_atom_site_fract_x
_atom_site_fract_y
_atom_site_fract_z
_atom_site_occupancy
Sc1 Sc 0.2013 0.4025 0.2500 1
B1 B 0.0429 0.5214 0.7500 1
```

ΔE_f in eV/atom: -0.288
Crystal system: hexagonal

=====

(6)
# AcHoTl4

A relaxed AcHoTl4 crystal (PBE, the Alexandria database).

CIF file:
```
data_AcHoTl4
_cell_length_a 8.986
_cell_length_b 8.986
_cell_length_c 8.986
_cell_angle_alpha 90.00
_cell_angle_beta 90.00
_cell_angle_gamma 90.00
_symmetry_space_group_name_H-M 'F -4 3 m'
_symmetry_Int_Tables_number 216
_symmetry_space_group_name_Hall 'F -4 2 3'
loop_
_atom_site_label
_atom_site_type_symbol
_atom_site_fract_x
_atom_site_fract_y
_atom_site_fract_z
_atom_site_occupancy
Ac1 Ac 0.000 0.000 0.000 1
Ho1 Ho 0.250 0.250 0.250 1
Tl1 Tl 0.125 0.125 0.625 1
```

ΔE_f in eV/atom: -0.102
Crystal system: cubic

=====

(7)
# BaMg4Tl2

A relaxed BaMg4Tl2 crystal (PBE, the Alexandria database).

CIF file:
```
data_BaMg4Tl2
_cell_length_a 9.078
_cell_length_b 9.078
_cell_length_c 4.817
_cell_angle_alpha 90.00
_cell_angle_beta 90.00
_cell_angle_gamma 90.00
_symmetry_space_group_name_H-M 'P 42/m n m'
_symmetry_Int_Tables_number 136
_symmetry_space_group_name_Hall '-P 4n 2n'
loop_
_atom_site_label
_atom_site_type_symbol
_atom_site_fract_x
_atom_site_fract_y
_atom_site_fract_z
_atom_site_occupancy
Ba1 Ba 0.000 0.000 0.000 1
Mg1 Mg 0.089 0.347 0.500 1
Tl1 Tl 0.219 0.781 0.500 1
```

ΔE_f in eV/atom: -0.175
Crystal system: tetragonal

=====

no.,M_tot (μB/f.u.)
1,0.00
2,7.13
3,0.00
4,0.00
5,0.00
6,0.00
7,0.00